Computed, not measured: VGa2Ir2 after structural relaxation at the PBE level of DFT.

abc: 7.2464 7.2464 2.8976
angles: 90.00 90.00 90.00
With the nearest neighbours (Å) after each atom.
Space group P4/mbm (No. 127)
One atom of each set of equivalent atoms:
V1 0.0000 0.0000 0.0000  4 Ir 2.79, 2 V 2.90, 8 Ga 3.09
Ga1 0.1577 0.3423 0.5000  6 Ir 2.51-2.61
Ir1 0.1417 0.6417 0.0000  6 Ga 2.51-2.61, 2 V 2.79

Results
As for the total DFT energy (no corrections): -6.7502 eV per atom. As for the formation energy: -17 kJ/mol of atoms.